w.
Compound: MgNiCS
Source: Alexandria
Functional: PBE
Structure: optimized geometry

Cell: 3.4715 3.4715 5.0266 Å, 90.00 90.00 120.00°
Space group P3m1 (No. 156)
Asymmetric unit:
Mg  0.0000  0.0000  0.0000
Ni  0.3333  0.6667  0.6681
C  0.6667  0.3333  0.6866
S  0.6667  0.3333  0.3270

Calculated values
V (Å³/cell): 52

x.
Compound: MgNiCS
Source: Alexandria
Functional: PBE
Structure: optimized geometry

Cell: 3.2575 3.2575 16.0920 Å, 90.00 90.00 120.00°
Space group R3m (No. 160, hexagonal axes)
Asymmetric unit:
Mg  0.0000  0.0000  0.0000
Ni  0.0000  0.0000  0.4664
C  0.0000  0.0000  0.7447
S  0.0000  0.0000  0.2178

Calculated values
V (Å³/cell): 148

Stability, lowest: x

w.
Compound: MgNiCS
Source: Alexandria
Functional: PBE
Structure: optimized geometry

Cell: 3.2613 4.3099 4.7543 Å, 69.06 69.98 89.85°
Space group P1 (No. 1)
Asymmetric unit:
Mg  0.0000  0.0000  0.0000
Ni  0.3119  0.1925  0.3752
C  0.7293  0.9898  0.5427
S  0.5631  0.5919  0.8761

Calculated values
V (Å³/cell): 58

x.
Compound: MgNiCS
Source: Alexandria
Functional: PBE
Structure: optimized geometry

Cell: 8.3825 3.1595 4.5151 Å, 90.00 99.07 90.00°
Space group Cm (No. 8)
Asymmetric unit:
Mg  0.0000  0.0000  0.0000
Ni  0.2484  0.5000  0.2500
C  0.2723  0.0000  0.0160
S  0.3217  0.0000  0.6447

Calculated values
V (Å³/cell): 118

y.
Compound: MgNiCS
Source: Alexandria
Functional: PBE
Structure: optimized geometry

Cell: 3.4012 3.5156 9.5474 Å, 90.00 90.00 90.00°
Space group Amm2 (No. 38)
Asymmetric unit:
Mg  0.0000  0.0000  0.0000
Ni  0.5000  0.0000  0.3758
C  0.5000  0.0000  0.8165
S  0.5000  0.0000  0.6321

Calculated values
V (Å³/cell): 114

Stability, lowest: w

w.
Compound: MgNiCS
Source: Alexandria
Functional: PBE
Structure: optimized geometry

Cell: 3.3129 3.3129 5.6943 Å, 90.00 90.00 120.00°
Space group P3m1 (No. 156)
Asymmetric unit:
Mg  0.0000  0.0000  0.0000
Ni  0.3333  0.6667  0.3485
C  0.6667  0.3333  0.2786
S  0.3333  0.6667  0.7296

Calculated values
V (Å³/cell): 54

x.
Compound: MgNiCS
Source: Alexandria
Functional: PBE
Structure: optimized geometry

Cell: 3.4753 3.4753 14.8812 Å, 90.00 90.00 120.00°
Space group R3m (No. 160, hexagonal axes)
Asymmetric unit:
Mg  0.0000  0.0000  0.0000
Ni  0.0000  0.0000  0.2201
C  0.0000  0.0000  0.5674
S  0.0000  0.0000  0.4437

Calculated values
V (Å³/cell): 156

y.
Compound: MgNiCS
Source: Alexandria
Functional: PBE
Structure: optimized geometry

Cell: 3.7171 2.9724 5.1767 Å, 90.00 109.02 90.00°
Space group Pm (No. 6)
Asymmetric unit:
Mg  0.0000  0.0000  0.0000
Ni  0.3648  0.5000  0.7194
C  0.8277  0.5000  0.6339
S  0.6758  0.0000  0.3733

Calculated values
V (Å³/cell): 54

z.
Compound: MgNiCS
Source: Alexandria
Functional: PBE
Structure: optimized geometry

Cell: 7.3024 3.3047 4.7130 Å, 90.00 104.83 90.00°
Space group Cm (No. 8)
Asymmetric unit:
Mg  0.0000  0.0000  0.0000
Ni  0.2627  0.5000  0.3501
C  0.3608  0.0000  0.2470
S  0.0485  0.5000  0.5962

Calculated values
V (Å³/cell): 110

Stability, lowest: y

w.
Compound: MgNiCS
Source: Alexandria
Functional: PBE
Structure: optimized geometry

Cell: 4.2144 3.1121 4.2151 Å, 90.00 94.34 90.00°
Space group Pm (No. 6)
Asymmetric unit:
Mg  0.0000  0.0000  0.0000
Ni  0.3812  0.0000  0.5440
C  0.1136  0.5000  0.6399
S  0.7334  0.5000  0.3989

Calculated values
V (Å³/cell): 55

x.
Compound: MgNiCS
Source: Alexandria
Functional: PBE
Structure: optimized geometry

Cell: 6.4710 3.6838 5.1173 Å, 90.00 114.60 90.00°
Space group Cm (No. 8)
Asymmetric unit:
Mg  0.0000  0.0000  0.0000
Ni  0.0539  0.5000  0.6471
C  0.1863  0.5000  0.0522
S  0.3089  0.5000  0.4226

Calculated values
V (Å³/cell): 111

y.
Compound: MgNiCS
Source: Alexandria
Functional: PBE
Structure: optimized geometry

Cell: 3.5579 3.6904 4.6077 Å, 90.00 90.52 90.00°
Space group Pm (No. 6)
Asymmetric unit:
Mg  0.0000  0.0000  0.0000
Ni  0.4960  0.0000  0.5668
C  0.9951  0.0000  0.4765
S  0.4983  0.5000  0.8581

Calculated values
V (Å³/cell): 60

Stability, lowest: y

w.
Compound: MgC2O
Source: Alexandria
Functional: PBE
Structure: optimized geometry

Cell: 4.9383 4.9383 6.4720 Å, 90.00 90.00 90.00°
Space group I-42d (No. 122)
Asymmetric unit:
Mg  0.0000  0.0000  0.0000
C  0.1632  0.2500  0.6250
O  0.0000  0.0000  0.5000

Calculated values
V (Å³/cell): 158

x.
Compound: MgC2O
Source: Alexandria
Functional: PBE
Structure: optimized geometry

Cell: 5.4326 5.4326 5.4326 Å, 90.00 90.00 90.00°
Space group Fm-3m (No. 225)
Asymmetric unit:
Mg  0.0000  0.0000  0.0000
C  0.2500  0.2500  0.2500
O  0.0000  0.0000  0.5000

Calculated values
V (Å³/cell): 160

Stability, lowest: x

w.
Compound: MgC3O
Source: Alexandria
Functional: PBE
Structure: optimized geometry

Cell: 3.7082 3.7082 3.7082 Å, 90.00 90.00 90.00°
Space group Pm-3m (No. 221)
Asymmetric unit:
Mg  0.0000  0.0000  0.0000
C  0.0000  0.5000  0.5000
O  0.5000  0.5000  0.5000

Calculated values
V (Å³/cell): 51

x.
Compound: MgC3O
Source: Alexandria
Functional: PBE
Structure: optimized geometry

Cell: 4.1083 4.1083 4.1083 Å, 90.00 90.00 90.00°
Space group Pm-3m (No. 221)
Asymmetric unit:
Mg  0.0000  0.0000  0.0000
C  0.0000  0.0000  0.5000
O  0.5000  0.5000  0.5000

Calculated values
V (Å³/cell): 69

Stability, lowest: x

w.
Compound: MgP2CO
Source: Alexandria
Functional: PBE
Structure: optimized geometry

Cell: 3.6636 3.6636 5.2333 Å, 90.00 90.00 90.00°
Space group P4/mmm (No. 123)
Asymmetric unit:
Mg  0.0000  0.0000  0.0000
P  0.0000  0.5000  0.5000
C  0.5000  0.5000  0.5000
O  0.5000  0.5000  0.0000

Calculated values
V (Å³/cell): 70

x.
Compound: MgP2CO
Source: Alexandria
Functional: PBE
Structure: optimized geometry

Cell: 4.8949 4.8949 3.5664 Å, 90.00 90.00 90.00°
Space group P4/mmm (No. 123)
Asymmetric unit:
Mg  0.0000  0.0000  0.0000
P  0.0000  0.5000  0.0000
C  0.5000  0.5000  0.5000
O  0.0000  0.0000  0.5000

Calculated values
V (Å³/cell): 85

Stability, lowest: x

w.
Compound: RbMg6CO8
Source: Alexandria
Functional: PBE
Structure: optimized geometry

Cell: 5.0660 5.0660 7.8450 Å, 90.00 90.00 90.00°
Space group P4/mmm (No. 123)
Asymmetric unit:
Rb  0.0000  0.0000  0.0000
Mg  0.0000  0.5000  0.2555
Mg  0.5000  0.5000  0.0000
Mg  0.5000  0.5000  0.5000
C  0.0000  0.0000  0.5000
O  0.0000  0.0000  0.3441
O  0.0000  0.5000  0.0000
O  0.0000  0.5000  0.5000
O  0.5000  0.5000  0.2495

Calculated values
V (Å³/cell): 201

x.
Compound: RbMg6CO8
Source: Alexandria
Functional: PBE
Structure: optimized geometry

Cell: 4.3839 4.3839 9.0281 Å, 90.00 90.00 90.00°
Space group P4/mmm (No. 123)
Asymmetric unit:
Rb  0.0000  0.0000  0.0000
Mg  0.0000  0.0000  0.5000
Mg  0.0000  0.5000  0.2633
Mg  0.5000  0.5000  0.5000
C  0.5000  0.5000  0.0000
O  0.0000  0.0000  0.2799
O  0.0000  0.5000  0.0000
O  0.0000  0.5000  0.5000
O  0.5000  0.5000  0.2523

Calculated values
V (Å³/cell): 174

Stability, lowest: x

w.
Compound: Mg6SnCO8
Source: Alexandria
Functional: PBE
Structure: optimized geometry

Cell: 4.3807 4.3807 8.7140 Å, 90.00 90.00 90.00°
Space group P4/mmm (No. 123)
Asymmetric unit:
Mg  0.0000  0.0000  0.0000
Mg  0.0000  0.5000  0.2448
Mg  0.5000  0.5000  0.0000
Sn  0.0000  0.0000  0.5000
C  0.5000  0.5000  0.5000
O  0.0000  0.0000  0.2371
O  0.0000  0.5000  0.0000
O  0.0000  0.5000  0.5000
O  0.5000  0.5000  0.2400

Calculated values
V (Å³/cell): 167

x.
Compound: Mg6SnCO8
Source: Alexandria
Functional: PBE
Structure: optimized geometry

Cell: 4.2606 4.2606 9.4103 Å, 90.00 90.00 90.00°
Space group P4/mmm (No. 123)
Asymmetric unit:
Mg  0.0000  0.0000  0.0000
Mg  0.0000  0.0000  0.5000
Mg  0.0000  0.5000  0.2205
Sn  0.5000  0.5000  0.5000
C  0.5000  0.5000  0.0000
O  0.0000  0.0000  0.2382
O  0.0000  0.5000  0.0000
O  0.0000  0.5000  0.5000
O  0.5000  0.5000  0.2758

Calculated values
V (Å³/cell): 171

Stability, lowest: w

w.
Compound: Mg6TiCO8
Source: Alexandria
Functional: PBE
Structure: optimized geometry

Cell: 4.1671 4.1671 9.1377 Å, 90.00 90.00 90.00°
Space group P4/mmm (No. 123)
Asymmetric unit:
Mg  0.0000  0.0000  0.0000
Mg  0.0000  0.0000  0.5000
Mg  0.0000  0.5000  0.2320
Ti  0.5000  0.5000  0.5000
C  0.5000  0.5000  0.0000
O  0.0000  0.0000  0.2437
O  0.0000  0.5000  0.0000
O  0.0000  0.5000  0.5000
O  0.5000  0.5000  0.2854

Calculated values
V (Å³/cell): 159

x.
Compound: Mg6TiCO8
Source: Alexandria
Functional: PBE
Structure: optimized geometry

Cell: 4.2545 4.2545 8.5729 Å, 90.00 90.00 90.00°
Space group P4/mmm (No. 123)
Asymmetric unit:
Mg  0.0000  0.0000  0.0000
Mg  0.0000  0.5000  0.2521
Mg  0.5000  0.5000  0.0000
Ti  0.0000  0.0000  0.5000
C  0.5000  0.5000  0.5000
O  0.0000  0.0000  0.2519
O  0.0000  0.5000  0.0000
O  0.0000  0.5000  0.5000
O  0.5000  0.5000  0.2425

Calculated values
V (Å³/cell): 155

Stability, lowest: x